LaSm2InN4 after structural relaxation. Source: the Alexandria database, functional GGA-PBE.

Geometry as CIF:
```
data_LaSm2InN4
_chemical_formula_sum 'La2 Sm4 In2 N8'
_cell_length_a 3.560
_cell_length_b 6.311
_cell_length_c 12.432
_cell_angle_alpha 90.00
_cell_angle_beta 90.00
_cell_angle_gamma 106.38
_space_group_name_H-M_alt 'P 1'
_space_group_IT_number 1
loop_
_space_group_symop_operation_xyz
'x,y,z'
loop_
_atom_site_label
_atom_site_fract_x
_atom_site_fract_y
_atom_site_fract_z
N1 0.000 0.000 0.500
N2 0.537 0.073 0.250
N3 0.265 0.531 0.379
N4 0.265 0.531 0.121
N5 0.000 0.000 0.000
N6 0.735 0.469 0.879
N7 0.735 0.469 0.621
N8 0.463 0.927 0.750
La1 0.883 0.766 0.250
La2 0.117 0.234 0.750
Sm1 0.630 0.260 0.036
Sm2 0.370 0.740 0.964
Sm3 0.370 0.740 0.536
Sm4 0.630 0.260 0.464
In1 0.854 0.708 0.750
In2 0.146 0.292 0.250
```

Calculated values
E = -7.2396 eV/atom
Symmetry = Cmcm, No. 63
Formation energy from raw total energies = -0.9389 eV/atom